Entry 1:
Compound: Nd6AsRh2I3
Source: Alexandria
Functional: GGA-PBE
Structure: optimized geometry

Cell: 7.3888 7.3888 8.3687 Å, 98.40 98.40 119.97°
Last column: nearest neighbours and their distance in Å.
Positions (direct):
Nd1 0.9369 0.5889 0.8112  2 Rh 2.84, 1 As 2.98
Nd2 0.7145 0.7145 0.1885  2 Rh 2.85, 1 As 2.98
Nd3 0.0631 0.4111 0.1888  2 Rh 2.84, 1 As 2.98
Nd4 0.5889 0.9369 0.8112  2 Rh 2.84, 1 As 2.98
Nd5 0.2855 0.2855 0.8115  2 Rh 2.85, 1 As 2.98
Nd6 0.4111 0.0631 0.1888  2 Rh 2.84, 1 As 2.98
As1 0.0000 0.0000 0.0000  6 Nd 2.98
Rh1 0.3330 0.6670 0.0000  6 Nd 2.84-2.85
Rh2 0.6670 0.3330 0.0000  6 Nd 2.84-2.85
I1 0.1631 0.8369 0.5000  6 Nd 3.46-3.54
I2 0.8369 0.1631 0.5000  6 Nd 3.46-3.54
I3 0.5000 0.5000 0.5000  6 Nd 3.42-3.54

Computed properties:
magnetization = 0.000 μB/cell
energy relative to the elements, uncorrected = -1016 meV/atom
VASP energy = -5.401 eV/atom
DOS(E_F) = 0.350 states/eV per atom
space-group type = C2/m (12)

Entry 2:
Compound: Nd6As3S2I
Source: Alexandria
Functional: GGA-PBE
Structure: optimized geometry

Cell: 4.2391 8.5520 9.4918 Å, 102.53 102.90 90.00°
Last column: nearest neighbours and their distance in Å.
Positions (direct):
Nd1 0.3206 0.9062 0.6412  3 As 2.89-3.03, 2 S 2.99
Nd2 0.6678 0.5844 0.3356  3 S 2.96-3.01, 3 As 3.03-3.04
Nd3 0.6794 0.0938 0.3588  3 As 2.89-3.03, 2 S 2.99
Nd4 0.0044 0.2809 0.0089  3 As 2.84-2.99, 1 S 2.97
Nd5 0.9956 0.7191 0.9911  3 As 2.84-2.99, 1 S 2.97
Nd6 0.3322 0.4156 0.6644  3 S 2.96-3.01, 3 As 3.03-3.04
As1 0.5000 0.5000 0.0000  6 Nd 2.84-3.03
As2 0.8394 0.1656 0.6789  6 Nd 2.89-3.04
As3 0.1606 0.8344 0.3211  6 Nd 2.89-3.04
S1 0.8316 0.6656 0.6633  6 Nd 2.96-3.01
S2 0.1684 0.3344 0.3367  6 Nd 2.96-3.01
I1 0.5000 0.0000 0.0000  6 Nd 3.19-3.24

Computed properties:
magnetization = 0.000 μB/cell
energy relative to the elements, uncorrected = -1593 meV/atom
VASP energy = -5.956 eV/atom
DOS(E_F) = 0.378 states/eV per atom
space-group type = C2/m (12)

Entry 3:
Compound: Nd6As2S3I
Source: Alexandria
Functional: GGA-PBE
Structure: optimized geometry

Cell: 4.1939 8.4908 9.4153 Å, 102.74 102.87 90.00°
Last column: nearest neighbours and their distance in Å.
Positions (direct):
Nd1 0.3182 0.9103 0.6365  3 S 2.81-2.99, 2 As 2.99
Nd2 0.6665 0.5847 0.3330  3 S 2.98-2.99, 3 As 3.00-3.01
Nd3 0.6818 0.0897 0.3635  3 S 2.81-2.99, 2 As 2.99
Nd4 0.0003 0.2877 0.0006  3 S 2.77-2.91, 1 As 2.98
Nd5 0.9997 0.7123 0.9994  3 S 2.77-2.91, 1 As 2.98
Nd6 0.3335 0.4153 0.6670  3 S 2.98-2.99, 3 As 3.00-3.01
As1 0.8342 0.6698 0.6685  6 Nd 2.98-3.01
As2 0.1658 0.3302 0.3315  6 Nd 2.98-3.01
S1 0.5000 0.5000 0.0000  6 Nd 2.77-2.98
S2 0.8389 0.1674 0.6777  6 Nd 2.81-2.99
S3 0.1611 0.8326 0.3223  6 Nd 2.81-2.99
I1 0.5000 0.0000 0.0000  6 Nd 3.22-3.25

Computed properties:
magnetization = 0.000 μB/cell
energy relative to the elements, uncorrected = -1669 meV/atom
VASP energy = -5.989 eV/atom
DOS(E_F) = 0.434 states/eV per atom
space-group type = C2/m (12)

Entry 4:
Compound: Nd4AsSI2
Source: Alexandria
Functional: GGA-PBE
Structure: optimized geometry

Cell: 4.2770 7.3271 8.0572 Å, 108.11 90.00 90.00°
Last column: nearest neighbours and their distance in Å.
Positions (direct):
Nd1 0.5000 0.2431 0.1901  1 S 2.77, 2 As 2.90
Nd2 0.5000 0.7569 0.8099  1 S 2.77, 2 As 2.90
Nd3 0.0000 0.2836 0.8135  2 S 2.80, 1 As 2.92
Nd4 0.0000 0.7164 0.1865  2 S 2.80, 1 As 2.92
As1 0.0000 0.0000 0.0000  6 Nd 2.90-2.92
S1 0.5000 0.5000 0.0000  6 Nd 2.77-2.80
I1 0.5000 0.0000 0.5000  6 Nd 3.47-3.49
I2 0.0000 0.5000 0.5000  6 Nd 3.37-3.38

Computed properties:
magnetization = 0.000 μB/cell
energy relative to the elements, uncorrected = -1383 meV/atom
VASP energy = -5.252 eV/atom
DOS(E_F) = 0.547 states/eV per atom
space-group type = P2/m (10)